DFT (GGA-PBEsol) results for a geometry-optimized Tl2IrW structure.

Output
ΔE_f (eV per atom): 0.993
Offset from the most stable computed form (meV/atom): 138
Crystal system: tetragonal
Electronic total energy (eV/atom): -6.229

```
Tl2IrW
1.0
-2.127 2.724 -1.658
-3.365 -1.095 2.518
1.316 2.853 2.999
W Tl Ir
1 2 1
direct
0.500 0.500 0.500
0.000 0.000 0.500
0.000 0.500 0.000
0.500 0.000 0.000
```

DFT (GGA-PBEsol) results for a geometry-optimized ZrCoSb2 structure.

Output
Crystal system: tetragonal
ΔE_f (raw) (meV/atom): -101
Electronic total energy (eV/atom): -6.586

```
ZrCoSb2
1.0
3.981 0.000 0.000
0.000 3.981 0.000
-1.991 -1.991 4.767
Zr Sb Co
1 2 1
direct
0.500 0.500 0.000
0.750 0.250 0.500
0.000 0.000 0.000
0.250 0.750 0.500
```

DFT (GGA-PBEsol) results for a geometry-optimized NaBe2ZnRu structure.

Output
ΔE_f (eV per atom): 1.299
Crystal system: tetragonal
Electronic total energy (eV/atom): -2.931

```
NaBe2ZnRu
1.0
-3.864 1.260 -0.493
-0.256 -2.146 -3.478
-1.449 -3.547 2.295
Zn Be Ru Na
1 2 1 1
direct
0.000 0.000 0.000
0.000 0.500 0.000
0.500 0.000 0.000
0.500 0.500 0.500
0.000 0.000 0.500
```

DFT (GGA-PBEsol) results for a geometry-optimized TmB4Ru structure.

Output
ΔE_f (eV per atom): -0.714
Crystal system: orthorhombic
Electronic total energy (eV/atom): -7.904

```
TmB4Ru
1.0
-0.206 2.215 2.677
-5.814 0.462 -0.829
-1.706 -8.742 7.102
Tm B Ru
4 16 4
direct
0.500 0.129 0.150
0.500 0.871 0.850
0.500 0.371 0.650
0.500 0.629 0.350
0.000 0.210 0.814
0.000 0.387 0.047
0.000 0.613 0.953
0.000 0.023 0.693
0.000 0.887 0.453
0.000 0.365 0.470
0.000 0.113 0.547
0.000 0.710 0.686
0.000 0.135 0.970
0.000 0.977 0.307
0.000 0.790 0.186
0.000 0.635 0.530
0.000 0.477 0.193
0.000 0.865 0.030
0.000 0.290 0.314
0.000 0.523 0.807
0.500 0.860 0.592
0.500 0.140 0.408
0.500 0.360 0.908
0.500 0.640 0.092
```

DFT (GGA-PBEsol) results for a geometry-optimized ThSO structure.

Output
Crystal system: tetragonal
ΔE_f (raw) (meV/atom): -3098
Electronic total energy (eV/atom): -9.011

```
ThSO
1.0
-3.479 -1.147 1.444
1.250 -3.734 0.046
2.307 0.849 6.233
O Th S
2 2 2
direct
0.000 0.000 0.000
0.500 0.500 0.000
0.000 0.500 0.201
0.500 0.000 0.799
0.500 0.000 0.362
0.000 0.500 0.638
```

DFT (GGA-PBEsol) results for a geometry-optimized TaMn2Tc structure.

Output
ΔE_f (eV per atom): 0.089
Offset from the most stable computed form (meV/atom): 29
Crystal system: monoclinic
Electronic total energy (eV/atom): -10.746

```
TaMn2Tc
1.0
2.667 0.000 0.019
0.000 4.038 0.000
-1.112 0.000 4.980
Mn Tc Ta
2 1 1
direct
0.748 0.000 0.741
0.252 0.000 0.259
0.000 0.500 0.500
0.500 0.500 0.000
```

DFT (GGA-PBEsol) results for a geometry-optimized BSOF2 structure.

Output
Crystal system: tetragonal
ΔE_f (raw) (meV/atom): 292
Electronic total energy (eV/atom): -3.808

```
BSOF2
1.0
3.416 0.000 0.000
0.000 4.302 0.000
0.000 0.000 4.302
S O F B
1 1 2 1
direct
0.000 0.000 0.000
0.500 0.000 0.000
0.000 0.500 0.000
0.000 0.000 0.500
0.500 0.500 0.500
```

DFT (GGA-PBEsol) results for a geometry-optimized SnIrRuF2 structure.

Output
Crystal system: tetragonal
ΔE_f (raw) (meV/atom): 16
Electronic total energy (eV/atom): -5.606

```
SnIrRuF2
1.0
3.996 0.000 0.000
0.000 3.996 0.000
0.000 0.000 5.416
F Ru Sn Ir
2 1 1 1
direct
0.000 0.500 0.000
0.500 0.000 0.000
0.500 0.500 0.500
0.000 0.000 0.000
0.000 0.000 0.500
```

DFT (GGA-PBEsol) results for a geometry-optimized Sr2Li2Te structure.

Output
Crystal system: tetragonal
ΔE_f (raw) (meV/atom): -444
Electronic total energy (eV/atom): -2.672

```
Sr2Li2Te
1.0
4.893 0.000 0.000
0.000 7.822 0.000
0.000 0.000 7.822
Sr Li Te
4 4 2
direct
0.500 0.176 0.676
0.500 0.824 0.324
0.500 0.676 0.824
0.500 0.324 0.176
0.000 0.370 0.870
0.000 0.130 0.370
0.000 0.630 0.130
0.000 0.870 0.630
0.000 0.000 0.000
0.000 0.500 0.500
```

DFT (GGA-PBEsol) results for a geometry-optimized Li2CuAg structure.

Output
ΔE_f (eV per atom): -0.077
Crystal system: cubic
Electronic total energy (eV/atom): -2.971

```
Li2CuAg
1.0
-0.677 3.113 -2.880
-3.926 0.596 -1.634
-2.274 3.476 1.090
Li Ag Cu
2 1 1
direct
0.000 0.000 0.000
0.750 0.750 0.750
0.500 0.500 0.500
0.250 0.250 0.250
```

DFT (GGA-PBEsol) results for a geometry-optimized Sm2GeRh3 structure.

Output
ΔE_f (eV per atom): -0.851
Crystal system: trigonal
Electronic total energy (eV/atom): -7.441

```
Sm2GeRh3
1.0
5.086 0.009 0.006
2.043 4.658 0.006
2.043 1.337 4.462
Sm Rh Ge
2 3 1
direct
0.128 0.128 0.128
0.872 0.872 0.872
0.500 0.000 0.500
0.000 0.500 0.500
0.500 0.500 0.000
0.500 0.500 0.500
```

DFT (GGA-PBEsol) results for a geometry-optimized BaReN3 structure.

Output
Crystal system: monoclinic
ΔE_f (raw) (meV/atom): -535
Electronic total energy (eV/atom): -8.747

```
BaReN3
1.0
-1.292 -3.820 -4.665
7.769 -1.289 0.560
-1.357 -4.897 6.042
Ba N Re
4 12 4
direct
0.750 0.327 0.673
0.250 0.673 0.327
0.250 0.098 0.902
0.750 0.902 0.098
0.513 0.642 0.681
0.678 0.854 0.419
0.987 0.319 0.358
0.178 0.419 0.854
0.323 0.765 0.983
0.013 0.681 0.642
0.822 0.581 0.146
0.177 0.017 0.235
0.322 0.146 0.581
0.677 0.235 0.017
0.487 0.358 0.319
0.823 0.983 0.765
0.240 0.205 0.370
0.760 0.795 0.630
0.740 0.370 0.205
0.260 0.630 0.795
```